(1)
Here is Zn3Co at its PBEsol-relaxed geometry from the Alexandria database. Energies are from meta-GGA SCAN.

Properties
space group: P6_3/mmc, No. 194
E_form: 28 meV per atom
raw total energy: -14.43 eV/atom

a = 4.1848 Å, b = 5.2055 Å, c = 5.2055 Å
α = 120.00°, β = 90.00°, γ = 90.00°
Fractional positions:
Co 0.7500 0.6667 0.3333
Co 0.2500 0.3333 0.6667
Zn 0.7500 0.1708 0.3417
Zn 0.2500 0.8292 0.6583
Zn 0.7500 0.1708 0.8292
Zn 0.2500 0.8292 0.1708
Zn 0.7500 0.6583 0.8292
Zn 0.2500 0.3417 0.1708

***

(2)
Here is Zn2Co at its PBEsol-relaxed geometry from the Alexandria database. Energies are from meta-GGA SCAN.

Properties
space group: P-62m, No. 189
E_form: 64 meV per atom
raw total energy: -14.71 eV/atom

a = 2.5259 Å, b = 7.0884 Å, c = 7.0884 Å
α = 120.00°, β = 90.00°, γ = 90.00°
Each line ends with the local moment (μB).
Fractional positions:
Co 0.5000 0.0000 0.0000  1.25
Co 0.0000 0.6667 0.3333  1.40
Co 0.0000 0.3333 0.6667  1.40
Zn 0.0000 0.0000 0.3018  -0.02
Zn 0.5000 0.0000 0.6333  -0.03
Zn 0.0000 0.6982 0.6982  -0.02
Zn 0.0000 0.3018 0.0000  -0.02
Zn 0.5000 0.3667 0.3667  -0.03
Zn 0.5000 0.6333 0.0000  -0.03

***

(3)
Here is Zn3Co at its PBEsol-relaxed geometry from the Alexandria database. Energies are from meta-GGA SCAN.

Properties
space group: Pmmm, No. 47
E_form: -1 meV per atom
raw total energy: -14.46 eV/atom

a = 2.6462 Å, b = 3.5741 Å, c = 5.2639 Å
α = 90.00°, β = 90.00°, γ = 90.00°
Each line ends with the local moment (μB).
Fractional positions:
Zn 0.0000 0.0000 0.5000  0.01
Zn 0.5000 0.5000 0.2322  -0.03
Zn 0.5000 0.5000 0.7678  -0.03
Co 0.0000 0.0000 0.0000  1.54

***

(4)
Here is ZnCo2 at its PBEsol-relaxed geometry from the Alexandria database. Energies are from meta-GGA SCAN.

Properties
space group: Cm, No. 8
E_form: 83 meV per atom
raw total energy: -15.96 eV/atom

a = 2.5550 Å, b = 4.7696 Å, c = 5.9083 Å
α = 105.22°, β = 90.00°, γ = 105.54°
Each line ends with the local moment (μB).
Fractional positions:
Zn 0.0494 0.0988 0.5965  -0.06
Zn 0.7193 0.4386 0.9439  -0.06
Co 0.9985 0.9971 0.0144  1.76
Co 0.3871 0.7743 0.2704  1.66
Co 0.6769 0.3538 0.3381  1.80
Co 0.3354 0.6708 0.6700  1.71